Here is an optimized crystal structure of Sb2AsBr from Alexandria via LeMat-Bulk. Energies are from PBE.

total DFT energy (no corrections) = -3.521 eV/atom
distance to the lowest polymorph of the same formula = 0.174 eV/atom
E_form (uncorrected) = 0.120 eV/atom
spin magnetization = 0.00 μB per formula unit

abc: 9.2715 9.2715 9.2715
angles: 23.56 23.56 23.56
Fractional positions:
Sb (0.2364, 0.2364, 0.2364)
Br (0.7515, 0.7515, 0.7515)
Sb (0.0011, 0.0011, 0.0011)
As (0.5110, 0.5110, 0.5110)

=====

Here is an optimized crystal structure of Tl2SnAu from Alexandria via LeMat-Bulk. Energies are from PBE.

total DFT energy (no corrections) = -2.913 eV/atom
distance to the lowest polymorph of the same formula = 0.132 eV/atom
DFT formation energy = 90 meV per atom
spin magnetization = 0.00 μB per formula unit

abc: 3.4210 3.4210 11.0019
angles: 81.06 81.06 60.00
Fractional positions:
Sn (0.0000, 0.0000, 0.0000)
Tl (0.9030, 0.9030, 0.2910)
Tl (0.0970, 0.0970, 0.7090)
Au (0.5000, 0.5000, 0.5000)

=====

Here is an optimized crystal structure of Ta3BiF from Alexandria via LeMat-Bulk. Energies are from PBE.

total DFT energy (no corrections) = -7.914 eV/atom
distance to the lowest polymorph of the same formula = 0.000 eV/atom
E_form (uncorrected) = 0.348 eV/atom
spin magnetization = 0.00 μB per formula unit

abc: 4.4634 4.4634 4.4634
angles: 90.00 90.00 90.00
Fractional positions:
Ta (0.0000, 0.0000, 0.5000)
Bi (0.5000, 0.5000, 0.5000)
Ta (0.5000, 0.0000, 0.0000)
Ta (0.0000, 0.5000, 0.0000)
F (0.0000, 0.0000, 0.0000)

=====

Here is an optimized crystal structure of LaPm4Bi3 from Alexandria via LeMat-Bulk. Energies are from PBE.

total DFT energy (no corrections) = -4.928 eV/atom
DFT formation energy = -481 meV per atom
spin magnetization = 1.53 μB per formula unit

abc: 4.1211 8.8335 8.8862
angles: 119.80 103.41 90.00
Site moments in Bohr magnetons follow the coordinates.
Fractional positions:
Pm (0.3667, 0.1621, 0.7334)  0.13
Bi (0.0000, 0.5000, 0.0000)  0.00
Bi (0.8174, 0.8176, 0.6348)  -0.01
Bi (0.1826, 0.1824, 0.3652)  -0.01
La (0.5000, 0.0000, 0.0000)  0.33
Pm (0.6333, 0.8379, 0.2666)  0.13
Pm (0.3665, 0.5715, 0.7329)  0.13
Pm (0.6335, 0.4285, 0.2671)  0.13

=====

Number 1: DOS(E_F) 1.852 states/eV/f.u.. Number 2: DOS(E_F) 1.808 states/eV/f.u.. Number 3: DOS(E_F) 4.929 states/eV/f.u.. Number 4: DOS(E_F) 9.533 states/eV/f.u..